Entry 1:
## RbTl2BiH (PBE)

Data for an optimized crystal structure of RbTl2BiH.

For the total energy, the calculation gives -2.555 eV/atom. Its symmetry is No. 99.

a b c (Å): 5.2155 5.2157 5.6878
angles (deg): 90.00 90.00 90.00
Last column: nearest neighbours and their distance in Å.
Positions (direct):
Rb  0.0000  0.0000  0.4626  2 H 2.74-2.95
Tl  0.0000  0.5000  0.9705  2 H 2.61
Tl  0.5000  0.0000  0.9704  2 H 2.61
Bi  0.5000  0.5000  0.6159  4 Tl 3.30
H  0.0000  0.0000  0.9806  4 Tl 2.61, 1 Rb 2.74

Entry 2:
## CdNiRu2I (PBE)

Data for an optimized crystal structure of CdNiRu2I.

The value obtained for the formation energy (no corrections) is 1.1327 eV/atom. Its symmetry is No. 123.

a b c (Å): 4.6505 4.8728 4.6505
angles (deg): 90.00 90.00 90.00
Last column: nearest neighbours and their distance in Å.
Positions (direct):
I  0.5000  0.5000  0.5000  4 Cd 3.29, 8 Ru 3.37
Ru  0.0000  0.0000  0.5000  2 Ni 2.33
Ru  0.5000  0.0000  0.0000  2 Ni 2.33
Ni  0.0000  0.0000  0.0000  4 Ru 2.33, 2 Cd 2.44
Cd  0.0000  0.5000  0.0000  2 Ni 2.44

Entry 3:
## LaAl2Br (PBE)

Data for an optimized crystal structure of LaAl2Br.

The value obtained for the formation energy (no corrections) is -0.2152 eV/atom. The offset from the most stable computed form is 0.3745 eV/atom. Its symmetry is No. 65.

a b c (Å): 5.7900 5.7900 3.4219
angles (deg): 90.00 90.00 117.66
Last column: nearest neighbours and their distance in Å.
Positions (direct):
Al  0.0000  0.0000  0.0000  2 Al 3.00
Al  0.5000  0.5000  0.0000  2 Al 3.00
Br  0.5000  0.0000  0.5000  2 La 3.00
La  0.0000  0.5000  0.5000  2 Br 3.00